DFT (PBE) results for a relaxed Ce2Fe2S5 crystal.

a b c (Å): 8.383 8.383 10.755
angles (deg): 90.00 90.00 153.36
Each line ends with the local moment (μB).
Fractional positions:
S: 0.847 0.153 0.996  0.01
Ce: 0.377 0.623 0.188  0.63
Ce: 0.615 0.385 0.301  0.69
Fe: 0.096 0.904 0.972  2.62
Fe: 0.904 0.096 0.472  2.62
S: 0.535 0.465 0.058  0.07
Fe: 0.694 0.306 0.996  2.99
Ce: 0.385 0.615 0.801  0.69
S: 0.153 0.847 0.496  0.01
S: 0.195 0.805 0.146  0.06
S: 0.205 0.795 0.841  0.06
S: 0.805 0.195 0.646  0.06
S: 0.014 0.986 0.794  0.00
Ce: 0.623 0.377 0.688  0.63
S: 0.795 0.205 0.341  0.06
S: 0.986 0.014 0.294  0.00
Fe: 0.306 0.694 0.496  2.99
S: 0.465 0.535 0.558  0.07

Results
Final energy (eV per atom): -6.74
E above lowest polymorph (eV per atom): 0.000